Entry a
Material: In3SnS6
Method: DFT, PBE
State: optimized geometry

a b c (Å): 11.2534 3.7711 11.8917
angles (deg): 90.00 114.61 90.00
Space group P2_1/m (No. 11)
Symmetry-distinct sites (fractional):
In  0.0612  0.2500  0.1808
In  0.2215  0.7500  0.4641
In  0.3114  0.2500  0.8924
Sn  0.4830  0.2500  0.2608
S  0.0557  0.2500  0.3983
S  0.1048  0.2500  0.9373
S  0.2422  0.7500  0.2535
S  0.2787  0.7500  0.7368
S  0.4157  0.2500  0.5639
S  0.4315  0.7500  0.0782

Properties
The calculation puts the theoretical density at 4.75 g/cm3. The density of states at the Fermi level comes out at 1.0 states/eV/f.u.

***

Entry b
Material: In3SnS6
Method: DFT, PBE
State: optimized geometry

a b c (Å): 10.5768 14.0073 6.5163
angles (deg): 90.00 90.00 90.00
Space group Cmc2_1 (No. 36)
Symmetry-distinct sites (fractional):
In  0.0000  0.0779  0.0000
In  0.1917  0.4175  0.8600
Sn  0.0000  0.2928  0.3313
S  0.0000  0.3064  0.7005
S  0.0000  0.4486  0.1579
S  0.1611  0.0459  0.6781
S  0.1671  0.2073  0.1513

Properties
The calculation puts the theoretical density at 4.51 g/cm3. The density of states at the Fermi level comes out at 2.0 states/eV/f.u.

***

It is entry a that is most stable; the runner-up trails by 88 meV per atom.

***

Entry a
Material: InSn2S4
Method: DFT, PBE
State: optimized geometry

a b c (Å): 3.7818 12.7300 13.5233
angles (deg): 90.00 90.00 90.00
Space group Cmcm (No. 63)
Symmetry-distinct sites (fractional):
In  0.0000  0.1183  0.2500
Sn  0.0000  0.3678  0.0689
S  0.0000  0.0000  0.0000
S  0.0000  0.2725  0.6243
S  0.0000  0.4730  0.2500

Properties
The calculation puts the theoretical density at 4.90 g/cm3. The density of states at the Fermi level comes out at 1.7 states/eV/f.u.

***

Entry b
Material: InSn2S4
Method: DFT, PBE
State: optimized geometry

a b c (Å): 8.0574 10.9787 3.9178
angles (deg): 90.00 90.00 90.00
Space group Cmmm (No. 65)
Symmetry-distinct sites (fractional):
In  0.0000  0.0000  0.0000
Sn  0.2500  0.2500  0.5000
S  0.0000  0.2463  0.0000
S  0.2262  0.0000  0.5000

Properties
The calculation puts the theoretical density at 4.60 g/cm3. The density of states at the Fermi level comes out at 1.5 states/eV/f.u.

***

It is entry b that is most stable; the runner-up trails by 92 meV per atom.

***

Entry a
Material: SrIn3S
Method: DFT, PBE
State: optimized geometry

a b c (Å): 5.4844 5.4844 5.4844
angles (deg): 90.00 90.00 90.00
Space group Pm-3m (No. 221)
Symmetry-distinct sites (fractional):
Sr  0.0000  0.0000  0.0000
In  0.0000  0.5000  0.5000
S  0.5000  0.5000  0.5000

Properties
The calculation puts the theoretical density at 4.67 g/cm3. The density of states at the Fermi level comes out at 3.7 states/eV/f.u.

***

Entry b
Material: SrIn3S
Method: DFT, PBE
State: optimized geometry

a b c (Å): 6.1610 6.1610 6.1610
angles (deg): 90.00 90.00 90.00
Space group Pm-3m (No. 221)
Symmetry-distinct sites (fractional):
Sr  0.0000  0.0000  0.0000
In  0.0000  0.0000  0.5000
S  0.5000  0.5000  0.5000

Properties
The calculation puts the theoretical density at 3.30 g/cm3. The density of states at the Fermi level comes out at 3.5 states/eV/f.u.

***

It is entry a that is most stable; the runner-up trails by 940 meV per atom.

***

Entry a
Material: Sr2In2S
Method: DFT, PBE
State: optimized geometry

a b c (Å): 7.8959 7.8959 5.6953
angles (deg): 90.00 90.00 90.00
Space group P4/mbm (No. 127)
Symmetry-distinct sites (fractional):
Sr  0.1853  0.3147  0.0000
In  0.1283  0.6283  0.5000
S  0.0000  0.0000  0.0000

Properties
The calculation puts the theoretical density at 4.09 g/cm3. The density of states at the Fermi level comes out at 1.8 states/eV/f.u.

***

Entry b
Material: Sr2In2S
Method: DFT, PBE
State: optimized geometry

a b c (Å): 4.0812 4.0812 18.4718
angles (deg): 90.00 90.00 90.00
Space group I4/mmm (No. 139)
Symmetry-distinct sites (fractional):
Sr  0.0000  0.0000  0.0927
In  0.0000  0.5000  0.2500
S  0.0000  0.0000  0.5000

Properties
The calculation puts the theoretical density at 4.72 g/cm3. The density of states at the Fermi level comes out at 2.2 states/eV/f.u.

***

It is entry b that is most stable; the runner-up trails by 99 meV per atom.